Entry from the Alexandria database: KTc2 after structural relaxation (PBE-GGA). Values from VASP.

Cell and atoms, written as Quantum ESPRESSO input:
```
&SYSTEM
  ibrav = 0, nat = 3, ntyp = 2
/
ATOMIC_SPECIES
K 39.10 K.upf
Tc 98.00 Tc.upf
ATOMIC_POSITIONS crystal
K 0.000 0.000 0.000
Tc 0.294 0.294 0.000
Tc 0.706 0.706 0.000
CELL_PARAMETERS angstrom
-1.530 1.530 7.125
1.530 -1.530 7.125
1.530 1.530 -7.125
```

* energy of formation: 77.6 kJ/mol of atoms
* offset from the most stable computed form: 22.3 kJ/mol of atoms
* symmetry: I4/mmm (139)
* calculated density: 5.8 Mg/m³